1.
The following is a PBE-GGA calculation of a relaxed structure of CsK2AlTl, from the Alexandria database.

Geometry as CIF:
```
data_CsK2AlTl
_chemical_formula_sum 'Cs1 K2 Al1 Tl1'
_space_group_name_H-M_alt 'P 4/m m m'
_space_group_IT_number 123
_space_group_name_Hall '-P 4 2'
_cell_length_a 6.929
_cell_length_b 6.929
_cell_length_c 5.373
_cell_angle_alpha 90.00
_cell_angle_beta 90.00
_cell_angle_gamma 90.00
loop_
_atom_site_label
_atom_site_fract_x
_atom_site_fract_y
_atom_site_fract_z
Cs1 0.000 0.000 0.000
K1 0.000 0.500 0.500
Al1 0.500 0.500 0.500
Tl1 0.500 0.500 0.000
```

---

2.
The following is a PBE-GGA calculation of a relaxed structure of CsKAl2Zn, from the Alexandria database.

Geometry as CIF:
```
data_CsKAl2Zn
_chemical_formula_sum 'Cs1 K1 Al2 Zn1'
_space_group_name_H-M_alt 'P 4/m m m'
_space_group_IT_number 123
_space_group_name_Hall '-P 4 2'
_cell_length_a 6.326
_cell_length_b 6.326
_cell_length_c 6.155
_cell_angle_alpha 90.00
_cell_angle_beta 90.00
_cell_angle_gamma 90.00
loop_
_atom_site_label
_atom_site_fract_x
_atom_site_fract_y
_atom_site_fract_z
Cs1 0.000 0.000 0.000
K1 0.500 0.500 0.500
Al1 0.000 0.500 0.500
Zn1 0.500 0.500 0.000
```

---

3.
# CsLa2Al, optimized geometry, DFT PBE-GGA
# Energy above the lowest structure with this stoichiometry (meV/atom): 410
data_CsLa2Al
_chemical_formula_sum 'Cs4 La8 Al4'
_space_group_name_H-M_alt 'I -4 2 d'
_space_group_IT_number 122
_space_group_name_Hall 'I -4 2bw'
_cell_length_a 6.645
_cell_length_b 6.645
_cell_length_c 20.535
_cell_angle_alpha 90.00
_cell_angle_beta 90.00
_cell_angle_gamma 90.00
loop_
_atom_site_label
_atom_site_fract_x
_atom_site_fract_y
_atom_site_fract_z
Cs1 0.000 0.000 0.000
La1 0.017 0.750 0.625
Al1 0.000 0.000 0.500

---

4.
# CsLa2Al2, optimized geometry, DFT PBE-GGA
# Energy above the lowest structure with this stoichiometry (meV/atom): 0
data_CsLa2Al2
_chemical_formula_sum 'Cs2 La4 Al4'
_space_group_name_H-M_alt 'P 4/m b m'
_space_group_IT_number 127
_space_group_name_Hall '-P 4 2ab'
_cell_length_a 9.793
_cell_length_b 9.793
_cell_length_c 3.440
_cell_angle_alpha 90.00
_cell_angle_beta 90.00
_cell_angle_gamma 90.00
loop_
_atom_site_label
_atom_site_fract_x
_atom_site_fract_y
_atom_site_fract_z
Cs1 0.000 0.000 0.000
La1 0.126 0.374 0.000
Al1 0.167 0.667 0.500

---

Per-record DOS at the Fermi energy, states/eV/atom: 0.7038 1.3221 2.2877 1.1700
Per-record E_tot, Ry per atom: -0.123 -0.090 -0.215 -0.267
Per-record formation energy from the elements, eV per atom: 0.16 0.92 0.69 0.01